DFT (PBE) results for a relaxed Pm5TmRh6 crystal.

a b c (Å): 4.9633 6.9255 7.8572
angles (deg): 90.00 71.59 90.00
Last column: nearest neighbours and their distance in Å.
Positions (direct):
Tm1 0.0000 0.0000 0.0000  8 Rh 2.97-3.00
Rh1 0.8370 0.7535 0.3259  1 Tm 2.97, 7 Pm 3.00-3.09
Rh2 0.8370 0.2465 0.3259  1 Tm 2.97, 7 Pm 3.00-3.09
Rh3 0.5000 0.2422 0.0000  6 Pm 2.99-3.06, 2 Tm 3.00
Rh4 0.5000 0.7578 0.0000  6 Pm 2.99-3.06, 2 Tm 3.00
Rh5 0.1630 0.7535 0.6741  1 Tm 2.97, 7 Pm 3.00-3.09
Rh6 0.1630 0.2465 0.6741  1 Tm 2.97, 7 Pm 3.00-3.09
Pm1 0.6666 0.5000 0.6668  8 Rh 3.04-3.09
Pm2 0.3343 0.0000 0.3315  8 Rh 2.99-3.07
Pm3 0.0000 0.5000 0.0000  8 Rh 3.00-3.06
Pm4 0.6657 0.0000 0.6685  8 Rh 2.99-3.07
Pm5 0.3334 0.5000 0.3332  8 Rh 3.04-3.09

Volume in Å³ per atom: 21.354
Density in Mg/m³: 9.8
DFT formation energy in eV/atom: -0.72